# TiWO2F (GGA+U, optimized geometry)
data_TiWO2F
_chemical_formula_sum 'Ti1 W1 O2 F1'
_symmetry_space_group_name_H-M 'P 4/m m m'
_symmetry_Int_Tables_number 123
_symmetry_space_group_name_Hall '-P 4 2'
_cell_length_a 4.130
_cell_length_b 4.130
_cell_length_c 4.146
_cell_angle_alpha 90.00
_cell_angle_beta 90.00
_cell_angle_gamma 90.00
loop_
_atom_site_label
_atom_site_fract_x
_atom_site_fract_y
_atom_site_fract_z
Ti1 0.000 0.000 0.000
W1 0.500 0.500 0.500
O1 0.000 0.500 0.500
F1 0.500 0.500 0.000
# - M_tot (Bohr magnetons per cell) = 5.0
# - electronic total energy (eV/atom) = -6.61